# 1
Here is a relaxed Mn2TlPb crystal from the Alexandria database. Energies are from GGA-PBE.

Calculated values
- formation enthalpy at 0 K (eV/atom) = 0.454

Cell lengths 3.2587, 3.2587, 8.2794 Å; angles 90.00, 90.00, 90.00 degrees
Last column: nearest neighbours and their distance in Å.
Positions (direct):
Mn1 0.5000 0.5000 0.2107  4 Mn 2.72, 4 Pb 2.99
Mn2 0.0000 0.0000 0.0364  4 Mn 2.72, 4 Tl 2.96
Tl1 0.5000 0.5000 0.8121  5 Mn 2.96-3.30, 4 Tl 3.26
Pb1 0.0000 0.0000 0.4409  4 Mn 2.99, 4 Pb 3.26

# 2
Here is a relaxed HoErCdIr crystal from the Alexandria database. Energies are from GGA-PBE.

Calculated values
- formation enthalpy at 0 K (eV/atom) = -0.576

Cell lengths 5.0015, 5.0015, 5.0015 Å; angles 60.00, 60.00, 60.00 degrees
Last column: nearest neighbours and their distance in Å.
Positions (direct):
Ho1 0.5000 0.5000 0.5000  4 Ir 3.06, 4 Cd 3.06
Er1 0.0000 0.0000 0.0000  4 Cd 3.06, 4 Ir 3.06
Cd1 0.7500 0.7500 0.7500  4 Ho 3.06, 4 Er 3.06
Ir1 0.2500 0.2500 0.2500  4 Ho 3.06, 4 Er 3.06

# 3
Here is a relaxed LaS2ClF crystal from the Alexandria database. Energies are from GGA-PBE.

Calculated values
- uncorrected formation energy (eV per atom) = -0.90
- polymorph energy (0 for the lowest one) (kJ/mol of formula units) = 35

Cell lengths 4.7598, 4.5047, 4.7598 Å; angles 90.00, 90.00, 90.00 degrees
Last column: nearest neighbours and their distance in Å.
Positions (direct):
F1 0.0000 0.5000 0.0000  2 Cl 2.25
S1 0.5000 0.0000 0.0000  2 Cl 2.38
S2 0.0000 0.0000 0.5000  2 Cl 2.38
La1 0.5000 0.5000 0.5000  8 S 3.28, 4 F 3.37
Cl1 0.0000 0.0000 0.0000  2 F 2.25, 4 S 2.38

# 4
Here is a relaxed CaAl2Co2 crystal from the Alexandria database. Energies are from GGA-PBE.

Calculated values
- formation enthalpy at 0 K (eV/atom) = -0.271

Cell lengths 7.2876, 7.2876, 2.7851 Å; angles 90.00, 90.00, 90.00 degrees
Last column: nearest neighbours and their distance in Å.
Positions (direct):
Ca1 0.5000 0.5000 0.0000  4 Co 2.77, 2 Ca 2.79
Ca2 0.0000 0.0000 0.0000  4 Co 2.77, 2 Ca 2.79
Co1 0.6517 0.1517 0.0000  6 Al 2.53-2.58, 2 Ca 2.77, 2 Co 2.79
Co2 0.3483 0.8483 0.0000  6 Al 2.53-2.58, 2 Ca 2.77, 2 Co 2.79
Co3 0.1517 0.3483 0.0000  6 Al 2.53-2.58, 2 Ca 2.77, 2 Co 2.79
Co4 0.8483 0.6517 0.0000  6 Al 2.53-2.58, 2 Ca 2.77, 2 Co 2.79
Al1 0.6375 0.8625 0.5000  6 Co 2.53-2.58, 2 Al 2.79
Al2 0.3625 0.1375 0.5000  6 Co 2.53-2.58, 2 Al 2.79
Al3 0.1375 0.6375 0.5000  6 Co 2.53-2.58, 2 Al 2.79
Al4 0.8625 0.3625 0.5000  6 Co 2.53-2.58, 2 Al 2.79

# 5
Here is a relaxed Cr2ReRu2 crystal from the Alexandria database. Energies are from GGA-PBE.

Calculated values
- formation enthalpy at 0 K (eV/atom) = 0.209
- polymorph energy (0 for the lowest one) (kJ/mol of formula units) = 0

Cell lengths 7.0275, 7.0275, 2.7288 Å; angles 90.00, 90.00, 90.00 degrees
Last column: nearest neighbours and their distance in Å.
Positions (direct):
Ru1 0.3243 0.1757 0.5000  6 Cr 2.44-2.52, 2 Ru 2.73
Ru2 0.6757 0.8243 0.5000  6 Cr 2.44-2.52, 2 Ru 2.73
Ru3 0.1757 0.6757 0.5000  6 Cr 2.44-2.52, 2 Ru 2.73
Ru4 0.8243 0.3243 0.5000  6 Cr 2.44-2.52, 2 Ru 2.73
Re1 0.0000 0.0000 0.0000  2 Re 2.73, 4 Cr 2.80, 8 Ru 2.93
Re2 0.5000 0.5000 0.0000  2 Re 2.73, 4 Cr 2.80, 8 Ru 2.93
Cr1 0.8793 0.6207 0.0000  1 Cr 2.40, 6 Ru 2.44-2.52
Cr2 0.3793 0.8793 0.0000  1 Cr 2.40, 6 Ru 2.44-2.52
Cr3 0.1207 0.3793 0.0000  1 Cr 2.40, 6 Ru 2.44-2.52
Cr4 0.6207 0.1207 0.0000  1 Cr 2.40, 6 Ru 2.44-2.52

# 6
Here is a relaxed La2PaAs3Rh4 crystal from the Alexandria database. Energies are from GGA-PBE.

Calculated values
- formation enthalpy at 0 K (eV/atom) = -0.960

Cell lengths 4.2448, 4.2448, 11.2034 Å; angles 90.00, 90.00, 90.00 degrees
Last column: nearest neighbours and their distance in Å.
Positions (direct):
As1 0.0000 0.0000 0.5000  4 Rh 2.70, 4 Pa 3.00
As2 0.0000 0.5000 0.1289  5 Rh 2.49-2.57
As3 0.5000 0.0000 0.8711  5 Rh 2.49-2.57
Pa1 0.5000 0.5000 0.5000  4 Rh 2.70, 4 As 3.00
Rh1 0.5000 0.5000 0.0000  4 As 2.57
Rh2 0.0000 0.5000 0.3515  3 As 2.49-2.70, 2 Pa 2.70
Rh3 0.0000 0.0000 0.0000  4 As 2.57
Rh4 0.5000 0.0000 0.6485  3 As 2.49-2.70, 2 Pa 2.70
La1 0.0000 0.5000 0.7789  4 As 3.17, 8 Rh 3.26-3.34
La2 0.5000 0.0000 0.2211  4 As 3.17, 8 Rh 3.26-3.34